Record 1
A relaxed structure of NaNdTlZn, computed with PBE-GGA.

For the formation energy, the calculation gives -184 meV/atom.

The space group is F-43m (No. 216) and the conventional cell measures 7.4391, 7.4391 and 7.4391 Å, with angles of 90.00, 90.00 and 90.00 degrees. The asymmetric unit holds Na at (0.0000, 0.0000, 0.0000), Nd at (0.0000, 0.0000, 0.5000), Tl at (0.2500, 0.2500, 0.7500) and Zn at (0.2500, 0.2500, 0.2500).

Record 2
A relaxed structure of BaBi6S8, computed with PBE-GGA.

The value obtained for the energy relative to the elements, uncorrected is -0.371 eV per atom.

The space group is R-3 (No. 148, hexagonal axes) and the conventional cell measures 11.1585, 11.1585 and 12.9107 Å, with angles of 90.00, 90.00 and 120.00 degrees. The asymmetric unit holds Ba at (0.0000, 0.0000, 0.0000), Bi at (0.0152, 0.8125, 0.6073), S at (0.0000, 0.0000, 0.2596) and S at (0.0242, 0.6182, 0.7485).

Record 3
A relaxed structure of Ti2GaTc2, computed with PBE-GGA.

For the formation energy, the calculation gives -154 meV/atom.

The space group is P4/mbm (No. 127) and the conventional cell measures 6.9865, 6.9865 and 3.2797 Å, with angles of 90.00, 90.00 and 90.00 degrees. The asymmetric unit holds Ti at (0.1546, 0.3454, 0.0000), Ga at (0.0000, 0.0000, 0.5000) and Tc at (0.1488, 0.6488, 0.5000).

Record 4
A relaxed structure of OsRhPb2, computed with PBE-GGA.

For the formation energy, the calculation gives 635 meV/atom. For the offset from the most stable computed form, the calculation gives 235 meV per atom.

The space group is Pmm2 (No. 25) and the conventional cell measures 3.2350, 5.2515 and 4.6423 Å, with angles of 90.00, 90.00 and 90.00 degrees. The asymmetric unit holds Os at (0.0000, 0.0000, 0.0000), Rh at (0.5000, 0.5000, 0.7688), Pb at (0.0000, 0.5000, 0.2527) and Pb at (0.5000, 0.0000, 0.5139).

Record 5
A relaxed structure of Ac3ZnSb2Pd9, computed with PBE-GGA.

The value obtained for the energy relative to the elements, uncorrected is -0.583 eV per atom.

The space group is P-3m1 (No. 164) and the conventional cell measures 6.6697, 6.6697 and 9.6770 Å, with angles of 90.00, 90.00 and 120.00 degrees. The asymmetric unit holds Ac at (0.0000, 0.0000, 0.0000), Ac at (0.3333, 0.6667, 0.7158), Zn at (0.0000, 0.0000, 0.5000), Sb at (0.3333, 0.6667, 0.1864), Pd at (0.0000, 0.5000, 0.0000) and Pd at (0.1343, 0.2686, 0.2918).

Record 6
A relaxed structure of K2Pu3AlO12, computed with PBE-GGA.

The value obtained for the energy relative to the elements, uncorrected is -2.433 eV per atom.

The space group is R-3m (No. 166, hexagonal axes) and the conventional cell measures 7.7968, 7.7968 and 17.1829 Å, with angles of 90.00, 90.00 and 120.00 degrees. The asymmetric unit holds K at (0.0000, 0.0000, 0.1373), Pu at (0.0000, 0.5000, 0.0000), Al at (0.0000, 0.0000, 0.5000), O at (0.0782, 0.5391, 0.3657) and O at (0.0982, 0.5491, 0.1053).

Record 7
A relaxed structure of CeErCdHg, computed with PBE-GGA.

For the formation energy, the calculation gives -282 meV/atom.

The space group is F-43m (No. 216) and the conventional cell measures 7.5417, 7.5417 and 7.5417 Å, with angles of 90.00, 90.00 and 90.00 degrees. The asymmetric unit holds Ce at (0.0000, 0.0000, 0.0000), Er at (0.0000, 0.0000, 0.5000), Cd at (0.2500, 0.2500, 0.2500) and Hg at (0.2500, 0.2500, 0.7500).

Record 8
A relaxed structure of LaBeCl, computed with PBE-GGA.

The value obtained for the energy relative to the elements, uncorrected is -0.264 eV per atom. For the offset from the most stable computed form, the calculation gives 99 meV per atom.

The space group is I4mm (No. 107) and the conventional cell measures 3.5372, 3.5372 and 13.8389 Å, with angles of 90.00, 90.00 and 90.00 degrees. The asymmetric unit holds La at (0.0000, 0.0000, 0.0000), Be at (0.0000, 0.0000, 0.3673) and Cl at (0.0000, 0.0000, 0.6231).

Q: Which formula does entry 3 have?
A: Ti2GaTc2